[1]
# AlSb2Au, relaxed, DFT PBE
# Theoretical density: 8.61 g/cm³
# Final energy: -3.62 eV per atom
# D(E_F): 0.53 states/eV/atom
data_AlSb2Au
_chemical_formula_sum 'Al1 Sb2 Au1'
_space_group_name_H-M_alt 'P 4/m m m'
_space_group_IT_number 123
_space_group_name_Hall '-P 4 2'
_cell_length_a 3.386
_cell_length_b 3.386
_cell_length_c 7.857
_cell_angle_alpha 90.00
_cell_angle_beta 90.00
_cell_angle_gamma 90.00
loop_
_atom_site_label
_atom_site_type_symbol
_atom_site_fract_x
_atom_site_fract_y
_atom_site_fract_z
Al1 Al 0.000 0.000 0.000
Sb1 Sb 0.500 0.500 0.247
Au1 Au 0.000 0.000 0.500

=====

[2]
# AlSbAu2, relaxed, DFT PBE
# Theoretical density: 11.20 g/cm³
# Final energy: -3.58 eV per atom
# Energy above the most stable polymorph in this dataset: 187 meV/atom
# D(E_F): 0.27 states/eV/atom
data_AlSbAu2
_chemical_formula_sum 'Al2 Sb2 Au4'
_space_group_name_H-M_alt 'I m m 2'
_space_group_IT_number 44
_space_group_name_Hall 'I 2 -2'
_cell_length_a 3.788
_cell_length_b 5.004
_cell_length_c 8.491
_cell_angle_alpha 90.00
_cell_angle_beta 90.00
_cell_angle_gamma 90.00
loop_
_atom_site_label
_atom_site_type_symbol
_atom_site_fract_x
_atom_site_fract_y
_atom_site_fract_z
Al1 Al 0.000 0.000 0.000
Sb1 Sb 0.000 0.500 0.758
Au1 Au 0.000 0.000 0.526
Au2 Au 0.000 0.500 0.288

=====

Formation energy without anion corrections values (in eV per atom) by entry order: 0.19; 0.02.